The following is a DFT calculation (GGA+U) of crystalline K2GaNiF6 at its relaxed geometry.

- uncorrected energy (eV/atom) = -4.349

Lattice parameters (Å, degrees): 5.695 5.692 9.026 90.00 90.00 90.00
Last column: magnetic moment on the atom in μB.
Positions (direct):
Ga 0.500 0.250 0.500  0.01
F 0.741 0.009 0.500  0.01
F 0.741 0.491 0.500  0.01
F 0.500 0.250 0.289  0.00
F 0.000 0.750 0.789  0.00
F 0.241 0.509 0.000  0.01
F 0.241 0.991 0.000  0.01
F 0.759 0.509 0.000  0.01
K 0.500 0.750 0.750  0.00
K 0.000 0.250 0.250  0.00
Ni 0.500 0.250 0.000  0.98
F 0.759 0.991 0.000  0.01
Ni 0.000 0.750 0.500  0.98
F 0.259 0.491 0.500  0.01
F 0.500 0.250 0.711  0.00
K 0.500 0.750 0.250  0.00
Ga 0.000 0.750 0.000  0.01
F 0.000 0.750 0.211  0.00
F 0.259 0.009 0.500  0.01
K 0.000 0.250 0.750  0.00